SrYRe2F | PBE-GGA | optimized geometry

Output
* E_form (uncorrected): 1308 meV per atom

CIF file:
```
data_SrYRe2F
_chemical_formula_sum 'Sr1 Y1 Re2 F1'
_cell_length_a 5.618
_cell_length_b 5.618
_cell_length_c 4.318
_cell_angle_alpha 90.00
_cell_angle_beta 90.00
_cell_angle_gamma 90.00
_space_group_name_H-M_alt 'P 4/m m m'
_space_group_IT_number 123
_space_group_name_Hall '-P 4 2'
loop_
_atom_site_label
_atom_site_type_symbol
_atom_site_fract_x
_atom_site_fract_y
_atom_site_fract_z
Sr1 Sr 0.000 0.000 0.000
Y1 Y 0.500 0.500 0.500
Re1 Re 0.000 0.500 0.000
F1 F 0.000 0.000 0.500
```